Entry 1:
! meta-GGA SCAN SmLuZn2, single point on PBEsol structure; values from VASP
&SYSTEM
  ibrav = 0, nat = 4, ntyp = 3
/
ATOMIC_SPECIES
Lu 174.97 Lu.upf
Zn 65.41 Zn.upf
Sm 150.36 Sm.upf
CELL_PARAMETERS angstrom
-2.330 2.211 3.774
-4.892 -0.560 0.561
-1.769 -2.713 3.751
ATOMIC_POSITIONS crystal
Lu 0.500 0.500 0.500
Zn 0.250 0.250 0.250
Zn 0.750 0.750 0.750
Sm 0.000 0.000 0.000
! Space group: No. 225
! Fermi-level density of states: 3.96 states/eV/cell
! Energy of formation: -0.40 eV per atom
! V: 21.51 Å³ per atom

---

Entry 2:
! meta-GGA SCAN LuSn2, single point on PBEsol structure; values from VASP
&SYSTEM
  ibrav = 0, nat = 6, ntyp = 2
/
ATOMIC_SPECIES
Lu 174.97 Lu.upf
Sn 118.71 Sn.upf
CELL_PARAMETERS angstrom
4.252 0.000 0.000
0.000 4.313 0.000
0.000 2.157 7.885
ATOMIC_POSITIONS crystal
Lu 0.250 0.097 0.805
Lu 0.750 0.903 0.195
Sn 0.250 0.434 0.132
Sn 0.250 0.749 0.502
Sn 0.750 0.251 0.498
Sn 0.750 0.566 0.868
! Space group: No. 63
! Fermi-level density of states: 2.56 states/eV/cell
! Energy of formation: -0.57 eV per atom
! V: 24.10 Å³ per atom

---

Entry 3:
! meta-GGA SCAN Lu5Sn3, single point on PBEsol structure; values from VASP
&SYSTEM
  ibrav = 0, nat = 16, ntyp = 2
/
ATOMIC_SPECIES
Lu 174.97 Lu.upf
Sn 118.71 Sn.upf
CELL_PARAMETERS angstrom
6.276 0.000 0.000
0.000 8.643 0.000
0.000 -4.321 7.485
ATOMIC_POSITIONS crystal
Lu 0.500 0.333 0.667
Lu 0.000 0.333 0.667
Lu 0.250 0.237 0.000
Lu 0.500 0.667 0.333
Lu 0.750 0.000 0.763
Lu 0.750 0.237 0.237
Lu 0.250 0.000 0.237
Lu 0.750 0.763 0.000
Lu 0.250 0.763 0.763
Lu 0.000 0.667 0.333
Sn 0.750 0.396 0.000
Sn 0.250 0.396 0.396
Sn 0.250 0.604 0.000
Sn 0.750 0.000 0.396
Sn 0.250 0.000 0.604
Sn 0.750 0.604 0.604
! Space group: No. 193
! Fermi-level density of states: 7.79 states/eV/cell
! Energy of formation: -0.76 eV per atom
! V: 25.37 Å³ per atom

---

Entry 4:
! meta-GGA SCAN TbLu, single point on PBEsol structure; values from VASP
&SYSTEM
  ibrav = 0, nat = 2, ntyp = 2
/
ATOMIC_SPECIES
Tb 158.93 Tb.upf
Lu 174.97 Lu.upf
CELL_PARAMETERS angstrom
-1.829 -2.110 -2.119
3.381 -0.664 0.642
-1.418 -3.073 4.285
ATOMIC_POSITIONS crystal
Tb 0.000 0.000 0.500
Lu 0.667 0.333 0.000
! Space group: No. 187
! Fermi-level density of states: 3.14 states/eV/cell
! Energy of formation: 0.01 eV per atom
! V: 29.04 Å³ per atom